[1]
The following is a PBE calculation of crystalline GaMoP2Cl at its relaxed geometry, from the Alexandria database.

Formation energy from raw total energies = 0.988 eV per atom
Crystal system = tetragonal
ρ = 4.2 g/cm3
DFT total energy = -21.6 eV/f.u.

Lattice parameters (Å, degrees): 4.689 4.689 4.736 90.00 90.00 90.00
Space group P4/mmm (No. 123)
Asymmetric unit:
Ga  0.000  0.000  0.000 [1 per cell]
Mo  0.500  0.500  0.500 [1 per cell]
P  0.000  0.500  0.000 [2 per cell]
Cl  0.000  0.000  0.500 [1 per cell]

=====

[2]
The following is a PBE calculation of crystalline GaMoP2Cl at its relaxed geometry, from the Alexandria database.

Formation energy from raw total energies = 0.153 eV per atom
Crystal system = tetragonal
ρ = 3.9 g/cm3
DFT total energy = -25.8 eV/f.u.

Lattice parameters (Å, degrees): 4.651 4.651 5.229 90.00 90.00 90.00
Space group P4/mmm (No. 123)
Asymmetric unit:
Ga  0.000  0.000  0.000 [1 per cell]
Mo  0.500  0.500  0.500 [1 per cell]
P  0.000  0.500  0.500 [2 per cell]
Cl  0.500  0.500  0.000 [1 per cell]

=====

[3]
The following is a PBE calculation of crystalline GaMo2RhCl at its relaxed geometry, from the Alexandria database.

Formation energy from raw total energies = 1.546 eV per atom
Crystal system = tetragonal
ρ = 6.0 g/cm3
DFT total energy = -26.2 eV/f.u.

Lattice parameters (Å, degrees): 4.923 4.923 4.542 90.00 90.00 90.00
Space group P4/mmm (No. 123)
Asymmetric unit:
Ga  0.000  0.000  0.000 [1 per cell]
Mo  0.000  0.500  0.000 [2 per cell]
Rh  0.000  0.000  0.500 [1 per cell]
Cl  0.500  0.500  0.500 [1 per cell]

=====

[4]
The following is a PBE calculation of crystalline TaGaMo2Cl at its relaxed geometry, from the Alexandria database.

Formation energy from raw total energies = 1.830 eV per atom
Crystal system = tetragonal
ρ = 7.7 g/cm3
DFT total energy = -29.2 eV/f.u.

Lattice parameters (Å, degrees): 4.830 4.830 4.446 90.00 90.00 90.00
Space group P4/mmm (No. 123)
Asymmetric unit:
Ta  0.000  0.000  0.000 [1 per cell]
Ga  0.500  0.500  0.500 [1 per cell]
Mo  0.000  0.500  0.500 [2 per cell]
Cl  0.500  0.500  0.000 [1 per cell]

=====

[5]
The following is a PBE calculation of crystalline VGaMoCl2 at its relaxed geometry, from the Alexandria database.

Formation energy from raw total energies = 0.906 eV per atom
Crystal system = tetragonal
ρ = 4.2 g/cm3
DFT total energy = -22.1 eV/f.u.

Lattice parameters (Å, degrees): 4.603 4.603 5.401 90.00 90.00 90.00
Space group P4/mmm (No. 123)
Asymmetric unit:
V  0.000  0.000  0.000 [1 per cell]
Ga  0.500  0.500  0.000 [1 per cell]
Mo  0.500  0.500  0.500 [1 per cell]
Cl  0.000  0.500  0.500 [2 per cell]

=====

[6]
The following is a PBE calculation of crystalline GaN2Cl at its relaxed geometry, from the Alexandria database.

Formation energy from raw total energies = 0.840 eV per atom
Crystal system = trigonal
ρ = 4.4 g/cm3
DFT total energy = -18.2 eV/f.u.

Lattice parameters (Å, degrees): 3.1798 3.1798 17.2244 90.00 90.00 120.00
Space group R-3m (No. 166, hexagonal axes)
Asymmetric unit:
Ga  0.0000  0.0000  0.0000 [3 per cell]
N  0.0000  0.0000  0.3917 [6 per cell]
Cl  0.0000  0.0000  0.5000 [3 per cell]

=====

[7]
The following is a PBE calculation of crystalline GaN2Cl2 at its relaxed geometry, from the Alexandria database.

Formation energy from raw total energies = 1.143 eV per atom
Crystal system = tetragonal
ρ = 3.9 g/cm3
DFT total energy = -17.7 eV/f.u.

Lattice parameters (Å, degrees): 6.068 6.068 3.949 90.00 90.00 90.00
Space group P4/mbm (No. 127)
Asymmetric unit:
Ga  0.000  0.000  0.000 [2 per cell]
N  0.236  0.264  0.000 [4 per cell]
Cl  0.169  0.331  0.500 [4 per cell]

=====

[8]
The following is a PBE calculation of crystalline GaN2Cl at its relaxed geometry, from the Alexandria database.

Formation energy from raw total energies = 1.908 eV per atom
Crystal system = trigonal
ρ = 3.5 g/cm3
DFT total energy = -13.9 eV/f.u.

Lattice parameters (Å, degrees): 3.5985 3.5985 16.8686 90.00 90.00 120.00
Space group R-3m (No. 166, hexagonal axes)
Asymmetric unit:
Ga  0.0000  0.0000  0.0000 [3 per cell]
N  0.0000  0.0000  0.1085 [6 per cell]
Cl  0.0000  0.0000  0.5000 [3 per cell]

=====

[9]
The following is a PBE calculation of crystalline Ga3NCl at its relaxed geometry, from the Alexandria database.

Formation energy from raw total energies = 1.226 eV per atom
Crystal system = cubic
ρ = 2.6 g/cm3
DFT total energy = -13.1 eV/f.u.

Lattice parameters (Å, degrees): 5.457 5.457 5.457 90.00 90.00 90.00
Space group Pm-3m (No. 221)
Asymmetric unit:
Ga  0.000  0.000  0.500 [3 per cell]
N  0.500  0.500  0.500 [1 per cell]
Cl  0.000  0.000  0.000 [1 per cell]

=====

[10]
The following is a PBE calculation of crystalline GaN2Cl2 at its relaxed geometry, from the Alexandria database.

Formation energy from raw total energies = 0.007 eV per atom
Crystal system = tetragonal
ρ = 2.8 g/cm3
DFT total energy = -23.3 eV/f.u.

Lattice parameters (Å, degrees): 5.253 5.253 7.136 90.00 90.00 90.00
Space group I4/mmm (No. 139)
Asymmetric unit:
Ga  0.000  0.000  0.000 [2 per cell]
N  0.000  0.000  0.422 [4 per cell]
Cl  0.000  0.500  0.250 [4 per cell]

=====

[11]
The following is a PBE calculation of crystalline Ga3NCl at its relaxed geometry, from the Alexandria database.

Formation energy from raw total energies = 0.329 eV per atom
Crystal system = cubic
ρ = 4.5 g/cm3
DFT total energy = -17.6 eV/f.u.

Lattice parameters (Å, degrees): 4.585 4.585 4.585 90.00 90.00 90.00
Space group Pm-3m (No. 221)
Asymmetric unit:
Ga  0.000  0.000  0.500 [3 per cell]
N  0.000  0.000  0.000 [1 per cell]
Cl  0.500  0.500  0.500 [1 per cell]

=====

[12]
The following is a PBE calculation of crystalline GaN2Cl at its relaxed geometry, from the Alexandria database.

Formation energy from raw total energies = 1.290 eV per atom
Crystal system = tetragonal
ρ = 3.9 g/cm3
DFT total energy = -16.4 eV/f.u.

Lattice parameters (Å, degrees): 5.278 5.278 8.111 90.00 90.00 90.00
Space group I-42d (No. 122)
Asymmetric unit:
Ga  0.000  0.000  0.000 [4 per cell]
N  0.186  0.250  0.125 [8 per cell]
Cl  0.000  0.000  0.500 [4 per cell]

=====

[13]
The following is a PBE calculation of crystalline Ga2N4Cl at its relaxed geometry, from the Alexandria database.

Formation energy from raw total energies = 1.874 eV per atom
Crystal system = tetragonal
ρ = 4.9 g/cm3
DFT total energy = -28.1 eV/f.u.

Lattice parameters (Å, degrees): 3.936 3.936 10.015 90.00 90.00 90.00
Space group I4/mmm (No. 139)
Asymmetric unit:
Ga  0.000  0.000  0.131 [4 per cell]
N  0.000  0.000  0.316 [4 per cell]
N  0.000  0.500  0.000 [4 per cell]
Cl  0.000  0.000  0.500 [2 per cell]

=====

[14]
The following is a PBE calculation of crystalline GaNCl at its relaxed geometry, from the Alexandria database.

Formation energy from raw total energies = -0.219 eV per atom
Crystal system = monoclinic
ρ = 3.0 g/cm3
DFT total energy = -13.9 eV/f.u.

Lattice parameters (Å, degrees): 13.399 3.269 6.441 90.00 111.06 90.00
Space group C2 (No. 5)
Asymmetric unit:
Ga  0.027  0.000  0.262 [4 per cell]
N  0.033  0.500  0.122 [4 per cell]
Cl  0.136  0.002  0.622 [4 per cell]